# MnHgIO2, relaxed, DFT GGA+U
# Distance to the lowest polymorph of the same formula ... 0.000 eV/atom
# Total DFT energy (no corrections) ... -4.1942 eV/atom
# Magnetic moment ... 3.31 μB per cell
data_MnHgIO2
_chemical_formula_sum 'Mn1 Hg1 I1 O2'
_symmetry_space_group_name_H-M 'P 4/m m m'
_symmetry_Int_Tables_number 123
_symmetry_space_group_name_Hall '-P 4 2'
_cell_length_a 3.9999
_cell_length_b 3.9999
_cell_length_c 6.4028
_cell_angle_alpha 90.00
_cell_angle_beta 90.00
_cell_angle_gamma 90.00
loop_
_atom_site_label
_atom_site_type_symbol
_atom_site_fract_x
_atom_site_fract_y
_atom_site_fract_z
Mn1 Mn 0.0000 0.0000 0.0000
Hg1 Hg 0.5000 0.5000 0.5000
I1 I 0.0000 0.0000 0.5000
O1 O 0.0000 0.5000 0.0000